# 1
A plane-wave DFT calculation with GGA-PBE was carried out for crystalline GaSiS4 at its relaxed geometry.

```
GaSiS4
1.0
5.407 0.000 0.000
0.000 5.407 0.000
0.000 0.000 9.474
Ga Si S
2 2 8
direct
0.000 0.000 0.000
0.500 0.500 0.500
0.000 0.500 0.250
0.500 0.000 0.750
0.228 0.742 0.372
0.242 0.272 0.128
0.258 0.228 0.628
0.272 0.758 0.872
0.728 0.242 0.872
0.742 0.772 0.628
0.758 0.728 0.128
0.772 0.258 0.372
```

Output
energy relative to the elements, uncorrected = -0.427 eV per atom
V = 23.08 Å³/atom
energy = -4.59 eV per atom


# 2
A plane-wave DFT calculation with GGA-PBE was carried out for crystalline V12Ga5Co2 at its relaxed geometry.

```
V12Ga5Co2
1.0
6.397 -3.401 0.000
6.397 3.401 0.000
-1.134 0.000 6.192
V Ga Co
12 5 2
direct
0.027 0.027 0.196
0.084 0.623 0.073
0.173 0.524 0.656
0.377 0.916 0.927
0.439 0.439 0.349
0.476 0.827 0.344
0.524 0.173 0.656
0.561 0.561 0.651
0.623 0.084 0.073
0.827 0.476 0.344
0.916 0.377 0.927
0.973 0.973 0.804
0.160 0.160 0.605
0.240 0.240 0.242
0.500 0.500 0.000
0.760 0.760 0.758
0.840 0.840 0.395
0.196 0.804 0.500
0.804 0.196 0.500
```

Output
formation enthalpy at 0 K = 114.4 meV per atom
V = 14.18 Å³/atom
energy = -7.19 eV per atom


# 3
A plane-wave DFT calculation with GGA-PBE was carried out for crystalline NaEr2Co at its relaxed geometry.

```
NaEr2Co
1.0
3.320 0.000 0.000
0.000 3.320 0.000
0.000 0.000 9.462
Na Er Co
1 2 1
direct
0.000 0.000 0.000
0.500 0.500 0.332
0.500 0.500 0.668
0.000 0.000 0.500
```

Output
energy above the most stable polymorph in this dataset = 0.000 eV/atom
formation enthalpy at 0 K = -52.4 meV per atom
V = 26.07 Å³/atom
energy = -4.44 eV per atom


# 4
A plane-wave DFT calculation with GGA-PBE was carried out for crystalline Tl3AgSb at its relaxed geometry.

```
Tl3AgSb
1.0
5.486 0.000 0.000
0.000 5.486 0.000
0.000 0.000 5.486
Tl Ag Sb
3 1 1
direct
0.000 0.000 0.500
0.000 0.500 0.000
0.500 0.000 0.000
0.000 0.000 0.000
0.500 0.500 0.500
```

Output
energy above the most stable polymorph in this dataset = 0.214 eV/atom
energy relative to the elements, uncorrected = 0.287 eV per atom
V = 33.03 Å³/atom
energy = -2.53 eV per atom


# 5
A plane-wave DFT calculation with GGA-PBE was carried out for crystalline CsTl2Hg at its relaxed geometry.

```
CsTl2Hg
1.0
5.039 0.000 0.000
0.000 5.039 0.000
0.000 0.000 6.080
Cs Tl Hg
1 2 1
direct
0.000 0.000 0.000
0.000 0.500 0.500
0.500 0.000 0.500
0.500 0.500 0.000
```

Output
energy above the most stable polymorph in this dataset = 0.122 eV/atom
formation enthalpy at 0 K = 16.8 meV per atom
V = 38.60 Å³/atom
energy = -1.46 eV per atom


# 6
A plane-wave DFT calculation with GGA-PBE was carried out for crystalline Tb4TlZn2 at its relaxed geometry.

```
Tb4TlZn2
1.0
2.483 1.434 9.310
-2.483 1.434 9.310
0.000 -2.867 9.310
Tb Tl Zn
4 1 2
direct
0.117 0.117 0.117
0.299 0.299 0.299
0.701 0.701 0.701
0.883 0.883 0.883
0.500 0.500 0.500
0.402 0.402 0.402
0.598 0.598 0.598
```

Output
energy above the most stable polymorph in this dataset = 0.121 eV/atom
formation enthalpy at 0 K = -63.0 meV per atom
V = 28.40 Å³/atom
energy = -3.41 eV per atom


# 7
A plane-wave DFT calculation with GGA-PBE was carried out for crystalline TlWS3 at its relaxed geometry.

```
TlWS3
1.0
8.246 0.000 0.000
0.000 6.205 0.000
-7.287 0.000 11.211
Tl W S
4 4 12
direct
0.209 0.170 0.200
0.209 0.330 0.700
0.791 0.670 0.300
0.791 0.830 0.800
0.469 0.708 0.447
0.469 0.792 0.947
0.531 0.208 0.053
0.531 0.292 0.553
0.251 0.507 0.466
0.251 0.993 0.966
0.289 0.015 0.450
0.289 0.485 0.950
0.367 0.695 0.257
0.367 0.805 0.757
0.633 0.195 0.243
0.633 0.305 0.743
0.711 0.515 0.050
0.711 0.985 0.550
0.749 0.007 0.034
0.749 0.493 0.534
```

Output
energy above the most stable polymorph in this dataset = 0.000 eV/atom
energy relative to the elements, uncorrected = -0.507 eV per atom
V = 28.68 Å³/atom
energy = -6.05 eV per atom


Among the records above, which one has the lowest energy?
V12Ga5Co2